(1)
# TaAgBr2O

A geometry-optimized TaAgBr2O structure (PBE, the Alexandria database).

Values from the calculation:
As for the space group: No. 123. The raw total energy is -3.81 eV/atom.

Cell lengths 4.9502, 5.4588, 4.9502 Å; angles 90.00, 90.00, 90.00 degrees
Positions (direct):
O: 0.5000 0.5000 0.5000
Br: 0.0000 0.0000 0.5000
Br: 0.5000 0.0000 0.0000
Ag: 0.0000 0.5000 0.0000
Ta: 0.0000 0.0000 0.0000

(2)
# PaPd4Se8

A geometry-optimized PaPd4Se8 structure (PBE, the Alexandria database).

Values from the calculation:
As for the space group: No. 166. The raw total energy is -4.93 eV/atom.

Cell lengths 7.3005, 7.3005, 7.3005 Å; angles 64.40, 64.40, 64.40 degrees
Last column: magnetic moment on the atom in μB.
Positions (direct):
Pa: 0.5000 0.5000 0.5000  0.04
Pd: 0.5000 0.0000 0.5000  0.00
Pd: 0.0000 0.5000 0.5000  0.00
Pd: 0.5000 0.5000 0.0000  0.00
Pd: 0.0000 0.0000 0.0000  0.05
Se: 0.2426 0.7521 0.2426  0.01
Se: 0.7574 0.7574 0.2479  0.01
Se: 0.7574 0.2479 0.7574  0.01
Se: 0.2479 0.7574 0.7574  0.01
Se: 0.7381 0.7381 0.7381  0.00
Se: 0.2619 0.2619 0.2619  0.00
Se: 0.7521 0.2426 0.2426  0.01
Se: 0.2426 0.2426 0.7521  0.01

(3)
# Cu3Mo

A geometry-optimized Cu3Mo structure (PBE, the Alexandria database).

Values from the calculation:
As for the space group: No. 123. The value obtained for the formation energy is 48 kJ/mol of formula units.

Cell lengths 2.6079, 2.6079, 7.6288 Å; angles 90.00, 90.00, 90.06 degrees
Positions (direct):
Cu: 0.0000 0.0000 0.9836
Cu: 0.0000 0.0000 0.5164
Cu: 0.5000 0.5000 0.7500
Mo: 0.5000 0.5000 0.2500

(4)
# Ni2AgOs

A geometry-optimized Ni2AgOs structure (PBE, the Alexandria database).

Values from the calculation:
As for the space group: No. 160. The offset from the most stable computed form comes out at 0.123 eV per atom. The value obtained for the formation energy is 122 kJ/mol of formula units.

Cell lengths 8.8593, 8.8593, 8.8593 Å; angles 17.44, 17.44, 17.44 degrees
Last column: magnetic moment on the atom in μB.
Positions (direct):
Ag: 0.7460 0.7460 0.7460  0.00
Ni: 0.9933 0.9933 0.9933  0.38
Ni: 0.2521 0.2521 0.2521  0.46
Os: 0.5085 0.5085 0.5085  0.07

(5)
# RbMg2In4

A geometry-optimized RbMg2In4 structure (PBE, the Alexandria database).

Values from the calculation:
As for the space group: No. 71. The offset from the most stable computed form comes out at 0.000 eV per atom. The value obtained for the formation energy is -41 kJ/mol of formula units.

Cell lengths 4.9680, 3.3592, 12.3497 Å; angles 97.82, 101.60, 90.00 degrees
Positions (direct):
Rb: 0.5000 0.0000 0.0000
Mg: 0.7887 0.7887 0.5773
Mg: 0.2113 0.2113 0.4227
In: 0.6647 0.6647 0.3293
In: 0.3353 0.3353 0.6707
In: 0.0949 0.5949 0.1899
In: 0.9051 0.4051 0.8101

(6)
# TmSc7Rh2

A geometry-optimized TmSc7Rh2 structure (PBE, the Alexandria database).

Values from the calculation:
As for the space group: No. 65. The value obtained for the formation energy is -115 kJ/mol of formula units.

Cell lengths 5.0290, 7.6441, 7.6441 Å; angles 115.40, 90.00, 90.00 degrees
Positions (direct):
Tm: 0.0000 0.0000 0.0000
Sc: 0.0000 0.7020 0.2980
Sc: 0.0000 0.2980 0.7020
Sc: 0.5000 0.0665 0.3233
Sc: 0.5000 0.9335 0.6767
Sc: 0.5000 0.3233 0.0665
Sc: 0.5000 0.6767 0.9335
Sc: 0.5000 0.5000 0.5000
Rh: 0.5000 0.7089 0.2911
Rh: 0.5000 0.2911 0.7089